{
  "formula": "SrCuSeF",
  "functional": "PBEsol",
  "state": "optimized geometry",
  "cell": [[4.0133, 0.0000, 0.0000], [0.0000, 4.0133, 0.0000], [0.0000, 0.0000, 8.7035]],
  "species": ["Sr", "Sr", "Cu", "Cu", "Se", "Se", "F", "F"],
  "fractional_positions": [[0.2500, 0.2500, 0.1632], [0.7500, 0.7500, 0.8368], [0.2500, 0.7500, 0.5000], [0.7500, 0.2500, 0.5000], [0.2500, 0.2500, 0.6687], [0.7500, 0.7500, 0.3313], [0.2500, 0.7500, 0.0000], [0.7500, 0.2500, 0.0000]],
  "formation_energy_uncorrected_kcal_per_mol_atoms": -47.5,
  "magnetic_moment_mub_per_atom": 0.000,
  "energy_ev_per_atom": -5.048
}

{
  "formula": "Cu2Si2F",
  "functional": "PBEsol",
  "state": "optimized geometry",
  "cell": [[4.2374, 0.0000, 0.0000], [0.0000, 4.2374, 0.0000], [0.0000, 0.0000, 3.9606]],
  "species": ["Cu", "Cu", "Si", "Si", "F"],
  "fractional_positions": [[0.0000, 0.0000, 0.0000], [0.5000, 0.5000, 0.0000], [0.0000, 0.5000, 0.5000], [0.5000, 0.0000, 0.5000], [0.0000, 0.0000, 0.5000]],
  "formation_energy_uncorrected_kcal_per_mol_atoms": 10.2,
  "magnetic_moment_mub_per_atom": 0.000,
  "energy_ev_per_atom": -3.977
}

{
  "formula": "SrCuF4",
  "functional": "PBEsol",
  "state": "optimized geometry",
  "cell": [[-2.8244, 2.8244, 5.2556], [2.8244, -2.8244, 5.2556], [2.8244, 2.8244, -5.2556]],
  "species": ["Sr", "Sr", "Cu", "Cu", "F", "F", "F", "F", "F", "F", "F", "F"],
  "fractional_positions": [[0.2500, 0.2500, 0.0000], [0.7500, 0.7500, 0.0000], [0.0000, 0.5000, 0.5000], [0.5000, 0.0000, 0.5000], [0.0452, 0.5452, 0.8401], [0.2051, 0.0452, 0.5000], [0.2949, 0.7949, 0.8401], [0.4548, 0.2949, 0.5000], [0.5452, 0.7051, 0.5000], [0.7051, 0.2051, 0.1599], [0.7949, 0.9548, 0.5000], [0.9548, 0.4548, 0.1599]],
  "formation_energy_uncorrected_kcal_per_mol_atoms": -63.2,
  "magnetic_moment_mub_per_atom": 0.166,
  "energy_ev_per_atom": -5.057
}

{
  "formula": "SrCuTeF",
  "functional": "PBEsol",
  "state": "optimized geometry",
  "cell": [[4.1961, 0.0000, 0.0000], [0.0000, 4.1961, 0.0000], [0.0000, 0.0000, 9.0342]],
  "species": ["Sr", "Sr", "Cu", "Cu", "Te", "Te", "F", "F"],
  "fractional_positions": [[0.2500, 0.2500, 0.1485], [0.7500, 0.7500, 0.8515], [0.2500, 0.7500, 0.5000], [0.7500, 0.2500, 0.5000], [0.2500, 0.2500, 0.6748], [0.7500, 0.7500, 0.3252], [0.2500, 0.7500, 0.0000], [0.7500, 0.2500, 0.0000]],
  "formation_energy_uncorrected_kcal_per_mol_atoms": -44.4,
  "magnetic_moment_mub_per_atom": 0.000,
  "energy_ev_per_atom": -4.831
}

{
  "formula": "Cu2TcF",
  "functional": "PBEsol",
  "state": "optimized geometry",
  "cell": [[0.0000, 2.9373, 2.9373], [2.9373, 0.0000, 2.9373], [2.9373, 2.9373, 0.0000]],
  "species": ["Cu", "Cu", "Tc", "F"],
  "fractional_positions": [[0.2500, 0.2500, 0.2500], [0.7500, 0.7500, 0.7500], [0.0000, 0.0000, 0.0000], [0.5000, 0.5000, 0.5000]],
  "formation_energy_uncorrected_kcal_per_mol_atoms": 13.0,
  "magnetic_moment_mub_per_atom": 0.747,
  "energy_ev_per_atom": -4.900
}

{
  "formula": "TiCu3F",
  "functional": "PBEsol",
  "state": "optimized geometry",
  "cell": [[4.5930, 0.0000, 0.0000], [0.0000, 4.5930, 0.0000], [0.0000, 0.0000, 4.5930]],
  "species": ["Ti", "Cu", "Cu", "Cu", "F"],
  "fractional_positions": [[0.0000, 0.0000, 0.0000], [0.0000, 0.0000, 0.5000], [0.0000, 0.5000, 0.0000], [0.5000, 0.0000, 0.0000], [0.5000, 0.5000, 0.5000]],
  "formation_energy_uncorrected_kcal_per_mol_atoms": 29.6,
  "magnetic_moment_mub_per_atom": 0.278,
  "energy_ev_per_atom": -3.368
}